[1]
# Ac12Tl3Rh5 | Alexandria | PBE | optimized geometry
# **ΔH_f (0 K)**: -6.42 eV/f.u.
# **D(E_F)**: 15.2 states/eV/f.u.
# **V**: 6238.7 Å³/cell
# **E**: -796.63 eV/cell
data_Ac12Tl3Rh5
_cell_length_a 18.409
_cell_length_b 18.409
_cell_length_c 18.409
_cell_angle_alpha 90.00
_cell_angle_beta 90.00
_cell_angle_gamma 90.00
_space_group_name_H-M_alt 'I a -3 d'
_space_group_IT_number 230
_space_group_name_Hall '-I 4bd 2c 3'
loop_
_atom_site_label
_atom_site_fract_x
_atom_site_fract_y
_atom_site_fract_z
_atom_site_occupancy
Ac1 0.028 0.057 0.649 1
Tl1 0.000 0.250 0.125 1
Rh1 0.000 0.000 0.000 1
Rh2 0.000 0.250 0.375 1

=====

[2]
# Ru3RhI | Alexandria | PBE | optimized geometry
# **ΔE_f (raw)**: 177.08 kJ per mole of atoms
# **D(E_F)**: 10.8 states/eV/f.u.
# **V**: 109.7 Å³/cell
# **Polymorph energy (0 for the lowest one)**: 0.00 eV per formula unit
# **E**: -27.55 eV/cell
data_Ru3RhI
_cell_length_a 4.787
_cell_length_b 4.787
_cell_length_c 4.787
_cell_angle_alpha 90.00
_cell_angle_beta 90.00
_cell_angle_gamma 90.00
_space_group_name_H-M_alt 'P m -3 m'
_space_group_IT_number 221
_space_group_name_Hall '-P 4 2 3'
loop_
_atom_site_label
_atom_site_fract_x
_atom_site_fract_y
_atom_site_fract_z
_atom_site_occupancy
Ru1 0.000 0.000 0.500 1
Rh1 0.000 0.000 0.000 1
I1 0.500 0.500 0.500 1

=====

[3]
# CaTa2Cr | Alexandria | PBE | optimized geometry
# **ΔH_f (0 K)**: 2.69 eV/f.u.
# **D(E_F)**: 4.2 states/eV/f.u.
# **V**: 168.4 Å³/cell
# **Polymorph energy (0 for the lowest one)**: 0.80 eV per formula unit
# **E**: -65.27 eV/cell
data_CaTa2Cr
_cell_length_a 9.374
_cell_length_b 2.957
_cell_length_c 6.104
_cell_angle_alpha 90.00
_cell_angle_beta 95.72
_cell_angle_gamma 90.00
_space_group_name_H-M_alt 'C 1 m 1'
_space_group_IT_number 8
_space_group_name_Hall 'C -2y'
loop_
_atom_site_label
_atom_site_fract_x
_atom_site_fract_y
_atom_site_fract_z
_atom_site_occupancy
Ca1 0.000 0.000 0.000 1
Ta1 0.010 0.500 0.512 1
Ta2 0.269 0.500 0.325 1
Cr1 0.241 0.000 0.702 1

=====

[4]
# CsCdSe2 | Alexandria | PBE | optimized geometry
# **ΔE_f (raw)**: -43.63 kJ per mole of atoms
# **D(E_F)**: 2.4 states/eV/f.u.
# **V**: 460.4 Å³/cell
# **E**: -31.64 eV/cell
data_CsCdSe2
_cell_length_a 6.5897
_cell_length_b 6.5897
_cell_length_c 12.2418
_cell_angle_alpha 90.00
_cell_angle_beta 90.00
_cell_angle_gamma 120.00
_space_group_name_H-M_alt 'R -3 m'
_space_group_IT_number 166
_space_group_name_Hall '-R 3 2"'
loop_
_atom_site_label
_atom_site_fract_x
_atom_site_fract_y
_atom_site_fract_z
_atom_site_occupancy
Cs1 0.0000 0.0000 0.0000 1
Cd1 0.0000 0.0000 0.5000 1
Se1 0.0000 0.0000 0.2980 1

=====

[5]
# USnPdRu | Alexandria | PBE | optimized geometry
# **ΔH_f (0 K)**: -0.98 eV/f.u.
# **D(E_F)**: 6.0 states/eV/f.u.
# **V**: 306.9 Å³/cell
# **E**: -122.96 eV/cell
data_USnPdRu
_cell_length_a 6.745
_cell_length_b 6.745
_cell_length_c 6.745
_cell_angle_alpha 90.00
_cell_angle_beta 90.00
_cell_angle_gamma 90.00
_space_group_name_H-M_alt 'F -4 3 m'
_space_group_IT_number 216
_space_group_name_Hall 'F -4 2 3'
loop_
_atom_site_label
_atom_site_fract_x
_atom_site_fract_y
_atom_site_fract_z
_atom_site_occupancy
U1 0.000 0.000 0.000 1
Sn1 0.000 0.000 0.500 1
Pd1 0.250 0.250 0.750 1
Ru1 0.250 0.250 0.250 1

=====

[6]
# LiLa2GaS5 | Alexandria | PBE | optimized geometry
# **ΔE_f (raw)**: -159.03 kJ per mole of atoms
# **V**: 778.8 Å³/cell
# **E**: -201.07 eV/cell
data_LiLa2GaS5
_cell_length_a 3.935
_cell_length_b 17.152
_cell_length_c 11.540
_cell_angle_alpha 90.00
_cell_angle_beta 90.00
_cell_angle_gamma 90.00
_space_group_name_H-M_alt 'C m c 21'
_space_group_IT_number 36
_space_group_name_Hall 'C 2c -2'
loop_
_atom_site_label
_atom_site_fract_x
_atom_site_fract_y
_atom_site_fract_z
_atom_site_occupancy
Li1 0.000 0.214 0.000 1
La1 0.000 0.123 0.665 1
La2 0.000 0.134 0.287 1
Ga1 0.000 0.434 0.433 1
S1 0.000 0.044 0.039 1
S2 0.000 0.293 0.648 1
S3 0.000 0.315 0.340 1
S4 0.000 0.357 0.982 1
S5 0.000 0.499 0.760 1

=====

[7]
# BaInBi2 | Alexandria | PBE | optimized geometry
# **ΔH_f (0 K)**: -1.82 eV/f.u.
# **D(E_F)**: 1.1 states/eV/f.u.
# **V**: 135.8 Å³/cell
# **E**: -14.25 eV/cell
data_BaInBi2
_cell_length_a 5.117
_cell_length_b 5.117
_cell_length_c 5.185
_cell_angle_alpha 90.00
_cell_angle_beta 90.00
_cell_angle_gamma 90.00
_space_group_name_H-M_alt 'P 4/m m m'
_space_group_IT_number 123
_space_group_name_Hall '-P 4 2'
loop_
_atom_site_label
_atom_site_fract_x
_atom_site_fract_y
_atom_site_fract_z
_atom_site_occupancy
Ba1 0.000 0.000 0.000 1
In1 0.500 0.500 0.000 1
Bi1 0.000 0.500 0.500 1

=====

[8]
# Dy3IrRu | Alexandria | PBE | optimized geometry
# **ΔH_f (0 K)**: -2.23 eV/f.u.
# **D(E_F)**: 2.6 states/eV/f.u.
# **V**: 248.6 Å³/cell
# **E**: -68.34 eV/cell
data_Dy3IrRu
_cell_length_a 6.417
_cell_length_b 6.521
_cell_length_c 7.324
_cell_angle_alpha 67.41
_cell_angle_beta 67.61
_cell_angle_gamma 65.66
_space_group_name_H-M_alt 'P -1'
_space_group_IT_number 2
_space_group_name_Hall '-P 1'
loop_
_atom_site_label
_atom_site_fract_x
_atom_site_fract_y
_atom_site_fract_z
_atom_site_occupancy
Dy1 0.095 0.231 0.292 1
Dy2 0.224 0.096 0.800 1
Dy3 0.400 0.598 0.255 1
Ir1 0.365 0.836 0.524 1
Ru1 0.169 0.633 0.977 1

=====

[9]
# Ac8Ga2Ge | Alexandria | PBE | optimized geometry
# **ΔH_f (0 K)**: -2.75 eV/f.u.
# **D(E_F)**: 11.0 states/eV/f.u.
# **V**: 814.0 Å³/cell
# **E**: -92.58 eV/cell
data_Ac8Ga2Ge
_cell_length_a 20.601
_cell_length_b 5.451
_cell_length_c 7.402
_cell_angle_alpha 90.00
_cell_angle_beta 101.67
_cell_angle_gamma 90.00
_space_group_name_H-M_alt 'C 1 2/m 1'
_space_group_IT_number 12
_space_group_name_Hall '-C 2y'
loop_
_atom_site_label
_atom_site_fract_x
_atom_site_fract_y
_atom_site_fract_z
_atom_site_occupancy
Ac1 0.028 0.000 0.279 1
Ac2 0.090 0.500 0.948 1
Ac3 0.159 0.500 0.478 1
Ac4 0.211 0.000 0.824 1
Ga1 0.188 0.000 0.252 1
Ge1 0.000 0.500 0.500 1

=====

[10]
# CaZr2CdN | Alexandria | PBE | optimized geometry
# **ΔE_f (raw)**: -61.43 kJ per mole of atoms
# **D(E_F)**: 3.2 states/eV/f.u.
# **V**: 99.4 Å³/cell
# **E**: -31.52 eV/cell
data_CaZr2CdN
_cell_length_a 4.528
_cell_length_b 4.528
_cell_length_c 4.848
_cell_angle_alpha 90.00
_cell_angle_beta 90.00
_cell_angle_gamma 90.00
_space_group_name_H-M_alt 'P 4/m m m'
_space_group_IT_number 123
_space_group_name_Hall '-P 4 2'
loop_
_atom_site_label
_atom_site_fract_x
_atom_site_fract_y
_atom_site_fract_z
_atom_site_occupancy
Ca1 0.000 0.000 0.000 1
Zr1 0.000 0.500 0.500 1
Cd1 0.500 0.500 0.000 1
N1 0.000 0.000 0.500 1

=====

Question: The highest V belongs to which entry?
Answer: Ac12Tl3Rh5

=====

Question: Look up the V of the fourth one.
Answer: 460.4 Å³/cell

=====

Question: Among the records above, which one has the lowest E?
Answer: Ac12Tl3Rh5

=====

Question: Number 1 is which compound?
Answer: Ac12Tl3Rh5